Entry 1:
# CaGeOs2W

A geometry-optimized CaGeOs2W structure (GGA-PBE, Alexandria via LeMat-Bulk).

* SG: No. 123
* calculated formation energy: 1.291 eV/atom
* VASP energy: -7.115 eV/atom

Cell lengths 4.639, 4.639, 4.685 Å; angles 90.00, 90.00, 90.00 degrees
Sites, in units of the cell vectors:
Ca  0.000  0.000  0.000
Ge  0.500  0.500  0.500
Os  0.000  0.500  0.500
Os  0.500  0.000  0.500
W  0.500  0.500  0.000

Entry 2:
# BaScZn2

A geometry-optimized BaScZn2 structure (GGA-PBE, Alexandria via LeMat-Bulk).

* SG: No. 44
* calculated formation energy: 0.040 eV/atom
* VASP energy: -2.661 eV/atom
* energy above the most stable polymorph in this dataset: 0.226 eV per atom

Cell lengths 6.222, 6.222, 6.222 Å; angles 147.51, 128.55, 62.18 degrees
Sites, in units of the cell vectors:
Ba  0.000  0.000  0.000
Sc  0.308  0.808  0.500
Zn  0.544  0.544  0.000
Zn  0.729  0.229  0.500

Entry 3:
# Tc2TeOsSe

A geometry-optimized Tc2TeOsSe structure (GGA-PBE, Alexandria via LeMat-Bulk).

* SG: No. 123
* VASP energy: -5.643 eV/atom
* formation energy without anion corrections: 2.07 eV/atom

Cell lengths 4.923, 4.923, 4.840 Å; angles 90.00, 90.00, 90.00 degrees
Sites, in units of the cell vectors:
Tc  0.000  0.500  0.000
Tc  0.500  0.000  0.000
Te  0.000  0.000  0.000
Os  0.000  0.000  0.500
Se  0.500  0.500  0.500

Entry 4:
# K6AgHg2O

A geometry-optimized K6AgHg2O structure (GGA-PBE, Alexandria via LeMat-Bulk).

* SG: No. 8
* VASP energy: -1.841 eV/atom
* formation energy without anion corrections: -0.34 eV/atom

Cell lengths 8.393, 8.393, 8.387 Å; angles 119.93, 119.93, 90.04 degrees
Sites, in units of the cell vectors:
K  0.000  0.000  0.000
K  0.000  0.000  0.443
K  0.000  0.558  0.000
K  0.557  0.557  0.000
K  0.558  0.000  0.000
K  0.558  0.558  0.558
Ag  0.279  0.279  0.001
Hg  0.030  0.528  0.500
Hg  0.528  0.030  0.500
O  0.779  0.779  0.000